(1)
4
Lattice="-0.810 0.425 -4.541 3.367 -3.055 -0.885 -2.174 -2.443 0.159" Properties=species:S:1:pos:R:3 comment="CdRu2Pb | Alexandria | PBE | optimized geometry" relative_energy_mev_per_atom=181 pbc="T T T"
Cd -1.492 -1.009 -2.191
Ru 1.279 -1.315 -2.713
Pb 0.597 -2.749 -0.363
Ru 0.000 0.000 0.000


(2)
5
Lattice="5.300 0.000 0.000 0.000 5.300 0.000 0.000 0.000 5.300" Properties=species:S:1:pos:R:3 comment="CdRuPb3 | Alexandria | PBE | optimized geometry" relative_energy_mev_per_atom=0 pbc="T T T"
Pb 0.000 0.000 2.650
Ru 0.000 0.000 0.000
Cd 2.650 2.650 2.650
Pb 2.650 0.000 0.000
Pb 0.000 2.650 0.000


(3)
4
Lattice="4.887 0.000 0.000 2.443 4.232 0.000 2.443 1.411 3.990" Properties=species:S:1:pos:R:3 comment="Cd2RuPb | Alexandria | PBE | optimized geometry" dft_energy_ry_per_atom=-0.23894 pbc="T T T"
Pb 4.887 2.821 1.995
Cd 2.443 1.411 0.997
Cd 0.000 0.000 0.000
Ru 7.330 4.232 2.992


(4)
4
Lattice="5.664 0.010 0.000 2.306 5.174 0.000 -3.985 -2.592 3.080" Properties=species:S:1:pos:R:3 comment="CdRuPb2 | Alexandria | PBE | optimized geometry" dft_energy_ry_per_atom=-0.28581 pbc="T T T"
Pb 0.000 0.000 0.000
Pb 1.153 2.587 1.540
Cd 2.832 0.005 1.540
Ru 3.985 2.592 0.000


(5)
4
Lattice="-3.672 1.858 -3.481 -1.811 0.062 -5.076 -3.597 -3.294 -0.487" Properties=species:S:1:pos:R:3 comment="CdRu2Pb | Alexandria | PBE | optimized geometry" relative_energy_mev_per_atom=152 pbc="T T T"
Cd -4.388 -0.423 -4.642
Ru -8.775 -1.259 -8.818
Ru -2.580 -0.468 -2.482
Pb -6.957 -1.284 -6.667


(6)
4
Lattice="-3.215 3.586 -2.851 -4.229 -2.118 -2.993 1.978 -0.440 5.217" Properties=species:S:1:pos:R:3 comment="Cd2RuPb | Alexandria | PBE | optimized geometry" dft_energy_ry_per_atom=-0.25040 pbc="T T T"
Ru -2.986 -0.912 -0.349
Pb -2.479 1.940 -0.278
Cd -0.010 0.002 -0.008
Cd -3.712 0.732 -2.914